Here is NdPuMn2 after structural relaxation from Alexandria. Energies are from PBE.

## Properties
Calculated density   9.11 g cm⁻³
Total energy   -35.42 eV/f.u.
N(E_F)   3.199 states/eV per atom

Unit cell a=5.1204 b=5.1204 c=3.4642 alpha=90.00 beta=90.00 gamma=90.00
Closest atoms and distances in Å follow each position.
Space group P4/mmm (No. 123)
Symmetry-distinct sites (fractional):
1 Nd 0.0000 0.0000 0.0000 (multiplicity 1)  8 Mn 3.09
2 Pu 0.5000 0.5000 0.0000 (multiplicity 1)  8 Mn 3.09
3 Mn 0.0000 0.5000 0.5000 (multiplicity 2)  4 Nd 3.09, 4 Pu 3.09

Here is NdPuMn2 after structural relaxation from Alexandria. Energies are from PBE.

## Properties
Calculated density   9.94 g cm⁻³
Total energy   -36.97 eV/f.u.
N(E_F)   1.368 states/eV per atom

Unit cell a=3.4538 b=3.4538 c=6.9742 alpha=90.00 beta=90.00 gamma=90.00
Closest atoms and distances in Å follow each position.
Space group P4/mmm (No. 123)
Symmetry-distinct sites (fractional):
1 Nd 0.0000 0.0000 0.0000 (multiplicity 1)  8 Mn 3.23, 4 Nd 3.45, 2 Pu 3.49
2 Pu 0.0000 0.0000 0.5000 (multiplicity 1)  8 Mn 2.80
3 Mn 0.5000 0.5000 0.3024 (multiplicity 2)  1 Mn 2.76, 4 Pu 2.80

Here is NdPuMn after structural relaxation from Alexandria. Energies are from PBE.

## Properties
Calculated density   9.97 g cm⁻³
Total energy   -27.28 eV/f.u.
N(E_F)   1.684 states/eV per atom

Unit cell a=3.2876 b=15.9665 c=5.6259 alpha=90.00 beta=90.00 gamma=90.00
Closest atoms and distances in Å follow each position.
Space group Cmc2_1 (No. 36)
Symmetry-distinct sites (fractional):
1 Nd 0.0000 0.1767 0.0000 (multiplicity 4)  3 Mn 2.98-3.27, 2 Nd 3.29
2 Pu 0.0000 0.4840 0.8336 (multiplicity 4)  1 Mn 2.17
3 Mn 0.0000 0.3632 0.0098 (multiplicity 4)  1 Pu 2.17

Here is NdPuMnRu after structural relaxation from Alexandria. Energies are from PBE.

## Properties
Calculated density   10.77 g cm⁻³
Total energy   -37.35 eV/f.u.
N(E_F)   1.473 states/eV per atom

Unit cell a=6.9505 b=6.9505 c=6.9505 alpha=90.00 beta=90.00 gamma=90.00
Closest atoms and distances in Å follow each position.
Space group F-43m (No. 216)
Symmetry-distinct sites (fractional):
1 Nd 0.0000 0.0000 0.0000 (multiplicity 4)  4 Mn 3.01, 4 Ru 3.01
2 Pu 0.0000 0.0000 0.5000 (multiplicity 4)  4 Mn 3.01, 4 Ru 3.01
3 Mn 0.2500 0.2500 0.2500 (multiplicity 4)  4 Nd 3.01, 4 Pu 3.01
4 Ru 0.2500 0.2500 0.7500 (multiplicity 4)  4 Nd 3.01, 4 Pu 3.01

Here is RbNd2MnS4 after structural relaxation from Alexandria. Energies are from PBE.

## Properties
Calculated density   4.47 g cm⁻³
Total energy   -48.92 eV/f.u.
Formation energy from raw total energies   -1592 meV per atom
N(E_F)   0.343 states/eV per atom

Unit cell a=4.0863 b=14.2691 c=14.2132 alpha=90.00 beta=90.00 gamma=90.00
Closest atoms and distances in Å follow each position.
Space group Cmcm (No. 63)
Symmetry-distinct sites (fractional):
1 Rb 0.0000 0.1015 0.2500 (multiplicity 4)  6 S 3.30-3.43
2 Nd 0.0000 0.3676 0.0566 (multiplicity 8)  6 S 2.84-2.90
3 Mn 0.0000 0.1709 0.7500 (multiplicity 4)  4 S 2.35-2.42
4 S 0.0000 0.0000 0.0000 (multiplicity 4)  4 Nd 2.90
5 S 0.0000 0.2622 0.6127 (multiplicity 8)  1 Mn 2.35
6 S 0.0000 0.4199 0.2500 (multiplicity 4)  2 Mn 2.42

Here is RbNdMnS3 after structural relaxation from Alexandria. Energies are from PBE.

## Properties
Calculated density   3.53 g cm⁻³
Total energy   -35.59 eV/f.u.
Formation energy from raw total energies   -1384 meV per atom

Unit cell a=9.1826 b=4.1950 c=9.7251 alpha=90.00 beta=106.77 gamma=90.00
Closest atoms and distances in Å follow each position.
Space group P2_1/m (No. 11)
Symmetry-distinct sites (fractional):
1 Rb 0.2000 0.2500 0.2285 (multiplicity 2)  7 S 3.41-3.68
2 Nd 0.3359 0.7500 0.8549 (multiplicity 2)  6 S 2.80-3.02
3 Mn 0.0865 0.2500 0.6083 (multiplicity 2)  4 S 2.32-2.48
4 S 0.1209 0.2500 0.8547 (multiplicity 2)  1 Mn 2.32
5 S 0.1847 0.7500 0.5348 (multiplicity 2)  3 Mn 2.47-2.48
6 S 0.4598 0.7500 0.1534 (multiplicity 2)  3 Nd 2.80-2.83

Here is Rb3Nd2MnS6 after structural relaxation from Alexandria. Energies are from PBE.

## Properties
Calculated density   3.94 g cm⁻³
Total energy   -63.28 eV/f.u.
Formation energy from raw total energies   -1409 meV per atom

Unit cell a=7.2293 b=12.0190 c=8.0911 alpha=90.00 beta=108.27 gamma=90.00
Closest atoms and distances in Å follow each position.
Space group C2/m (No. 12)
Symmetry-distinct sites (fractional):
1 Rb 0.0000 0.0000 0.0000 (multiplicity 2)  6 S 3.27-3.30
2 Rb 0.0000 0.3284 0.0000 (multiplicity 4)  6 S 3.25-3.55
3 Nd 0.0000 0.1632 0.5000 (multiplicity 4)  6 S 2.80-2.92
4 Mn 0.0000 0.5000 0.5000 (multiplicity 2)  4 S 2.46
5 S 0.2064 0.3539 0.6778 (multiplicity 8)  1 Mn 2.46
6 S 0.2333 0.0000 0.7126 (multiplicity 4)  2 Nd 2.80, 1 Mn 2.96

Here is Rb3Nd3MnS8 after structural relaxation from Alexandria. Energies are from PBE.

## Properties
Calculated density   3.71 g cm⁻³
Total energy   -81.59 eV/f.u.
Formation energy from raw total energies   -1480 meV per atom

Unit cell a=8.1181 b=8.1181 c=23.5291 alpha=90.00 beta=90.00 gamma=120.00
Closest atoms and distances in Å follow each position.
Space group R-3m (No. 166, hexagonal axes)
Symmetry-distinct sites (fractional):
1 Rb 0.0000 0.5000 0.0000 (multiplicity 9)  6 S 3.32-3.36
2 Nd 0.0000 0.5000 0.5000 (multiplicity 9)  6 S 2.82-2.87
3 Mn 0.0000 0.0000 0.5000 (multiplicity 3)  6 S 2.47
4 S 0.0000 0.0000 0.2333 (multiplicity 6)  3 Nd 2.82
5 S 0.0430 0.5215 0.2257 (multiplicity 18)  1 Mn 2.47

Which formula does entry 8 have? Rb3Nd3MnS8